{"formula": "SrLaCl2", "functional": "PBE", "state": "relaxed", "lattice": [[6.8348, 0.0000, 0.0000], [0.0000, 6.8348, 0.0000], [3.4174, 3.4174, 6.5252]], "species": ["Cl", "Cl", "Cl", "Cl", "Sr", "Sr", "La", "La"], "fractional_positions": [[0.8750, 0.8671, 0.7500], [0.1329, 0.6250, 0.2500], [0.3750, 0.3829, 0.7500], [0.6171, 0.1250, 0.2500], [0.2500, 0.7500, 0.5000], [0.5000, 0.5000, 0.0000], [0.7500, 0.2500, 0.5000], [0.0000, 0.0000, 0.0000]], "formation_energy_uncorrected_ev_per_atom": -1.323, "sg": "I-42d, No. 122", "polymorph_energy_ev_per_atom": 0.257}